(1)
## Y2RhAu (SCAN)

Data for a PBEsol-optimized structure of Y2RhAu.

Unit cell a=3.701 b=4.490 c=5.517 alpha=90.00 beta=109.60 gamma=90.00
Sites, in units of the cell vectors:
Y  0.982  0.500  0.964
Y  0.262  0.000  0.524
Rh  0.714  0.500  0.427
Au  0.542  0.000  0.085

## Properties
The energy of formation comes out at -401 kJ/mol of formula units.

(2)
## PmHg3 (SCAN)

Data for a PBEsol-optimized structure of PmHg3.

Unit cell a=5.070 b=5.070 c=5.070 alpha=60.00 beta=60.00 gamma=60.00
Sites, in units of the cell vectors:
Hg  0.250  0.250  0.250
Hg  0.750  0.750  0.750
Hg  0.500  0.500  0.500
Pm  0.000  0.000  0.000

## Properties
The energy of formation comes out at -194 kJ/mol of formula units.

(3)
## YInCo3 (SCAN)

Data for a PBEsol-optimized structure of YInCo3.

Unit cell a=4.523 b=4.523 c=4.523 alpha=90.00 beta=90.00 gamma=90.00
Last column: magnetic moment on the atom in μB.
Sites, in units of the cell vectors:
Y  0.000  0.000  0.000  -0.40
Co  0.000  0.500  0.000  1.28
Co  0.000  0.000  0.500  1.28
Co  0.500  0.000  0.000  1.28
In  0.500  0.500  0.500  0.04

## Properties
The energy of formation comes out at 754 kJ/mol of formula units.

(4)
## ReIrBr (SCAN)

Data for a PBEsol-optimized structure of ReIrBr.

Unit cell a=4.120 b=4.120 c=4.120 alpha=60.00 beta=60.00 gamma=60.00
Sites, in units of the cell vectors:
Re  0.500  0.500  0.500
Ir  0.000  0.000  0.000
Br  0.750  0.750  0.750

## Properties
The excess energy over the best structure of this formula in the dataset comes out at 13.63 kcal/mol of atoms. As for the formation energy from raw total energies: 1.949 eV per atom.

What N(E_F) values result from the calculations? In sequence: 2.50 1.71 2.77 3.17 states/eV per cell.
What final energy values result from the calculations? In sequence: -162.77 -250.49 -105.33 -155.81 eV per cell.